Gd2AgRh | GGA-PBEsol | relaxed

```
Gd2AgRh
1.0
-2.8019 -3.5370 -2.0125
1.7217 -4.6182 -0.3453
-1.9005 -3.5642 2.8453
Ag Gd Rh
1 2 1
Direct
0.5000 0.5000 0.5000 Ag
0.7500 0.7500 0.7500 Gd
0.2500 0.2500 0.2500 Gd
0.0000 0.0000 0.0000 Rh
```

Output
space-group type: Fm-3m (225)
calculated density: 10.2 Mg/m³
energy: -42.350 eV for the cell shown
formation enthalpy at 0 K: -0.501 eV/atom



TaCu2Cl | GGA-PBEsol | relaxed

```
TaCu2Cl
1.0
-0.4244 -2.8819 -3.1383
3.2660 -0.7635 -2.6617
2.1086 -3.7207 0.2105
Cl Ta Cu
1 1 2
Direct
0.5000 0.5000 0.5000 Cl
0.7500 0.7500 0.7500 Ta
0.2500 0.2500 0.2500 Cu
0.0000 0.0000 0.0000 Cu
```

Output
space-group type: F-43m (216)
calculated density: 10.3 Mg/m³
energy: -21.287 eV for the cell shown
E_form (uncorrected): 1.94 eV per formula unit



Y2ZrFeCo | GGA-PBEsol | relaxed

```
Y2ZrFeCo
1.0
-1.1024 3.8917 2.0660
-2.2828 -2.5366 3.5602
4.2044 -0.1743 2.5717
Y Co Zr Fe
2 1 1 1
Direct
0.0000 0.5000 0.0000 Y
0.0000 0.0000 0.5000 Y
0.0000 0.0000 0.0000 Co
0.5000 0.5000 0.5000 Zr
0.5000 0.0000 0.0000 Fe
```

Output
space-group type: P4/mmm (123)
calculated density: 5.8 Mg/m³
energy: -36.946 eV for the cell shown
formation enthalpy at 0 K: 0.498 eV/atom



KCu2BiS3 | GGA-PBEsol | relaxed

```
KCu2BiS3
1.0
-4.2320 0.7389 -4.7172
-6.6980 -1.4560 6.0200
-0.3656 10.1404 2.1013
S Bi Cu K
12 4 8 4
Direct
0.8872 0.1893 0.8286 S
0.1128 0.8107 0.1714 S
0.6363 0.8163 0.3437 S
0.6255 0.5670 0.6365 S
0.1655 0.5709 0.8894 S
0.1571 0.7902 0.5558 S
0.3388 0.1962 0.0570 S
0.8345 0.4291 0.1106 S
0.3637 0.1837 0.6563 S
0.3745 0.4330 0.3635 S
0.8429 0.2098 0.4442 S
0.6612 0.8038 0.9430 S
0.9649 0.4632 0.3471 Bi
0.0351 0.5368 0.6529 Bi
0.5294 0.3192 0.8546 Bi
0.4706 0.6808 0.1454 Bi
0.0200 0.2225 0.6317 Cu
0.5041 0.3689 0.1728 Cu
0.4155 0.6634 0.4568 Cu
0.4959 0.6311 0.8272 Cu
0.5845 0.3366 0.5432 Cu
0.0826 0.3374 0.9674 Cu
0.9800 0.7775 0.3683 Cu
0.9174 0.6626 0.0326 Cu
0.7999 0.0668 0.1265 K
0.2001 0.9332 0.8735 K
0.6955 0.9235 0.6356 K
0.3045 0.0765 0.3644 K
```

Output
space-group type: P-1 (2)
calculated density: 5.2 Mg/m³
energy: -122.994 eV for the cell shown
E_form (uncorrected): -3.51 eV per formula unit



InRu2Se | GGA-PBEsol | relaxed

```
InRu2Se
1.0
-0.2882 0.2290 -2.9593
-3.8225 -0.9586 1.8006
0.0151 5.4078 0.4171
Ru In Se
2 1 1
Direct
0.7486 0.4971 0.7052 Ru
0.2514 0.5029 0.2948 Ru
0.5000 0.0000 0.0000 In
0.0000 0.0000 0.5000 Se
```

Output
space-group type: C2/m (12)
calculated density: 10.2 Mg/m³
energy: -26.482 eV for the cell shown
E_form (uncorrected): 0.70 eV per formula unit



LaN | GGA-PBEsol | relaxed

```
LaN
1.0
3.1232 0.0000 0.0000
0.0000 3.1232 0.0000
0.0000 0.0000 3.1232
N La
1 1
Direct
0.5000 0.5000 0.5000 N
0.0000 0.0000 0.0000 La
```

Output
space-group type: Pm-3m (221)
calculated density: 8.3 Mg/m³
energy: -15.687 eV for the cell shown
E_form (uncorrected): -1.81 eV per formula unit



CeMn2Si2 | GGA-PBEsol | relaxed

```
CeMn2Si2
1.0
3.8946 0.0000 0.0000
0.0000 3.8946 0.0000
-1.9473 -1.9473 5.1161
Si Mn Ce
2 2 1
Direct
0.6220 0.6220 0.2441 Si
0.3780 0.3780 0.7559 Si
0.7500 0.2500 0.5000 Mn
0.2500 0.7500 0.5000 Mn
0.0000 0.0000 0.0000 Ce
```

Output
space-group type: I4/mmm (139)
calculated density: 6.6 Mg/m³
energy: -40.403 eV for the cell shown
E_form (uncorrected): -2.79 eV per formula unit



LiY2Pd2 | GGA-PBEsol | relaxed

```
LiY2Pd2
1.0
3.7624 0.0000 0.0000
0.0000 7.5119 0.0000
0.0000 0.0000 7.5119
Pd Y Li
4 4 2
Direct
0.0000 0.1331 0.3669 Pd
0.0000 0.3669 0.8669 Pd
0.0000 0.6331 0.1331 Pd
0.0000 0.8669 0.6331 Pd
0.5000 0.1666 0.6666 Y
0.5000 0.3334 0.1666 Y
0.5000 0.8334 0.3334 Y
0.5000 0.6666 0.8334 Y
0.0000 0.5000 0.5000 Li
0.0000 0.0000 0.0000 Li
```

Output
space-group type: P4/mbm (127)
calculated density: 6.2 Mg/m³
energy: -61.776 eV for the cell shown
formation enthalpy at 0 K: -0.672 eV/atom